[1]
# YP3F

A geometry-optimized YP3F structure (GGA-PBE, the Alexandria database).

Output
**Spin magnetization**: 0.00 μB per cell
**ΔE to the lowest computed polymorph**: 0.0000 eV per atom
**Formation energy from raw total energies**: -251 meV/atom
**Symmetry**: No. 221

Cell: 4.422 4.422 4.422 Å, 90.00 90.00 90.00°
Sites, in units of the cell vectors:
Y1 0.000 0.000 0.000
P1 0.000 0.500 0.500
P2 0.500 0.000 0.500
P3 0.500 0.500 0.000
F1 0.500 0.500 0.500

[2]
# YPF2

A geometry-optimized YPF2 structure (GGA-PBE, the Alexandria database).

Output
**Spin magnetization**: 0.65 μB per cell
**ΔE to the lowest computed polymorph**: 0.4628 eV per atom
**Formation energy from raw total energies**: -1733 meV/atom
**Symmetry**: No. 166

Cell: 3.178 3.178 29.182 Å, 90.00 90.00 120.00°
Sites, in units of the cell vectors:
Y1 0.000 0.000 0.000
Y2 0.333 0.667 0.667
Y3 0.667 0.333 0.333
P1 0.000 0.000 0.500
P2 0.333 0.667 0.167
P3 0.667 0.333 0.833
F1 0.000 0.000 0.380
F2 0.000 0.000 0.620
F3 0.333 0.667 0.047
F4 0.333 0.667 0.287
F5 0.667 0.333 0.713
F6 0.667 0.333 0.953

[3]
# Y2P2F

A geometry-optimized Y2P2F structure (GGA-PBE, the Alexandria database).

Output
**Spin magnetization**: 0.00 μB per cell
**ΔE to the lowest computed polymorph**: 0.0000 eV per atom
**Formation energy from raw total energies**: -1916 meV/atom
**Symmetry**: No. 127

Cell: 6.940 6.940 3.956 Å, 90.00 90.00 90.00°
Sites, in units of the cell vectors:
Y1 0.185 0.315 0.000
Y2 0.315 0.815 0.000
Y3 0.685 0.185 0.000
Y4 0.815 0.685 0.000
P1 0.114 0.614 0.500
P2 0.386 0.114 0.500
P3 0.614 0.886 0.500
P4 0.886 0.386 0.500
F1 0.000 0.000 0.000
F2 0.500 0.500 0.000